# 1
Here is crystalline MnPt2 at its relaxed geometry from the Alexandria database. Energies are from PBE-GGA.

Cell lengths 2.810, 2.810, 11.510 Å; angles 90.00, 90.00, 90.00 degrees
Fractional positions:
Mn  0.000  0.000  0.000
Mn  0.500  0.500  0.500
Pt  0.000  0.000  0.341
Pt  0.000  0.000  0.659
Pt  0.500  0.500  0.159
Pt  0.500  0.500  0.841

Results
- SG: I4/mmm (139)
- ρ: 16.263 Mg/m³
- Formation energy from the elements: -0.308 eV per atom

***

# 2
Here is crystalline MnPt at its relaxed geometry from the Alexandria database. Energies are from PBE-GGA.

Cell lengths 5.151, 5.151, 5.151 Å; angles 90.00, 90.00, 90.00 degrees
Fractional positions:
Mn  0.000  0.000  0.000
Mn  0.000  0.500  0.500
Mn  0.500  0.000  0.500
Mn  0.500  0.500  0.000
Pt  0.000  0.000  0.500
Pt  0.000  0.500  0.000
Pt  0.500  0.000  0.000
Pt  0.500  0.500  0.500

Results
- SG: Fm-3m (225)
- ρ: 12.152 Mg/m³
- Formation energy from the elements: 0.143 eV per atom

***

# 3
Here is crystalline MnPt at its relaxed geometry from the Alexandria database. Energies are from PBE-GGA.

Cell lengths 3.910, 3.910, 5.433 Å; angles 90.00, 90.00, 120.00 degrees
Fractional positions:
Mn  0.333  0.667  0.250
Mn  0.667  0.333  0.750
Pt  0.000  0.000  0.000
Pt  0.000  0.000  0.500

Results
- SG: P6_3/mmc (194)
- ρ: 11.545 Mg/m³
- Formation energy from the elements: 0.000 eV per atom

***

# 4
Here is crystalline MnPt5 at its relaxed geometry from the Alexandria database. Energies are from PBE-GGA.

Cell lengths 5.228, 5.228, 5.228 Å; angles 60.00, 60.00, 60.00 degrees
Fractional positions:
Mn  0.000  0.000  0.000
Pt  0.126  0.625  0.625
Pt  0.250  0.250  0.250
Pt  0.625  0.126  0.625
Pt  0.625  0.625  0.126
Pt  0.625  0.625  0.625

Results
- SG: F-43m (216)
- ρ: 16.935 Mg/m³
- Formation energy from the elements: 0.063 eV per atom

***

# 5
Here is crystalline MnPt at its relaxed geometry from the Alexandria database. Energies are from PBE-GGA.

Cell lengths 2.922, 2.922, 3.537 Å; angles 90.00, 90.00, 90.00 degrees
Fractional positions:
Mn  0.000  0.000  0.000
Pt  0.500  0.500  0.500

Results
- SG: P4/mmm (123)
- ρ: 13.751 Mg/m³
- Formation energy from the elements: -0.355 eV per atom

***

# 6
Here is crystalline Mn5Pt at its relaxed geometry from the Alexandria database. Energies are from PBE-GGA.

Cell lengths 4.261, 2.647, 13.497 Å; angles 90.00, 90.00, 90.00 degrees
Fractional positions:
Mn  0.000  0.000  0.000
Mn  0.000  0.000  0.323
Mn  0.000  0.000  0.661
Mn  0.000  0.500  0.161
Mn  0.000  0.500  0.500
Mn  0.000  0.500  0.823
Mn  0.500  0.000  0.204
Mn  0.500  0.000  0.547
Mn  0.500  0.500  0.047
Mn  0.500  0.500  0.704
Pt  0.500  0.000  0.877
Pt  0.500  0.500  0.377

Results
- SG: Amm2 (38)
- ρ: 10.251 Mg/m³
- Formation energy from the elements: -0.023 eV per atom

***

# 7
Here is crystalline Mn5Pt at its relaxed geometry from the Alexandria database. Energies are from PBE-GGA.

Cell lengths 2.650, 2.650, 10.729 Å; angles 90.00, 90.00, 90.00 degrees
Fractional positions:
Mn  0.000  0.000  0.000
Mn  0.000  0.000  0.316
Mn  0.000  0.000  0.684
Mn  0.500  0.500  0.156
Mn  0.500  0.500  0.844
Pt  0.500  0.500  0.500

Results
- SG: P4/mmm (123)
- ρ: 10.355 Mg/m³
- Formation energy from the elements: -0.034 eV per atom

***

# 8
Here is crystalline Pu8MnPt5 at its relaxed geometry from the Alexandria database. Energies are from PBE-GGA.

Cell lengths 7.482, 7.482, 7.482 Å; angles 109.77, 109.77, 108.87 degrees
Fractional positions:
Pu  0.125  0.379  0.607
Pu  0.125  0.389  0.115
Pu  0.274  0.009  0.885
Pu  0.482  0.875  0.254
Pu  0.611  0.726  0.735
Pu  0.621  0.228  0.746
Pu  0.772  0.518  0.393
Pu  0.991  0.875  0.265
Mn  0.250  0.750  0.500
Pt  0.372  0.247  0.364
Pt  0.500  0.500  0.000
Pt  0.753  0.117  0.125
Pt  0.883  0.007  0.636
Pt  0.993  0.628  0.875

Results
- SG: I-4 (82)
- ρ: 15.359 Mg/m³
- Formation energy from the elements: -0.533 eV per atom

***

# 9
Here is crystalline Pu6MnPt5 at its relaxed geometry from the Alexandria database. Energies are from PBE-GGA.

Cell lengths 8.677, 8.677, 8.677 Å; angles 145.63, 134.74, 58.04 degrees
Fractional positions:
Pu  0.074  0.331  0.743
Pu  0.225  0.000  0.225
Pu  0.413  0.669  0.743
Pu  0.587  0.331  0.257
Pu  0.775  0.000  0.775
Pu  0.926  0.669  0.257
Mn  0.500  0.500  0.000
Pt  0.000  0.500  0.500
Pt  0.173  0.173  0.000
Pt  0.354  0.854  0.500
Pt  0.646  0.146  0.500
Pt  0.827  0.827  0.000

Results
- SG: Immm (71)
- ρ: 15.945 Mg/m³
- Formation energy from the elements: -0.526 eV per atom

***

# 10
Here is crystalline Pu2MnPt2 at its relaxed geometry from the Alexandria database. Energies are from PBE-GGA.

Cell lengths 7.889, 4.545, 6.064 Å; angles 90.00, 115.77, 90.00 degrees
Fractional positions:
Pu  0.206  0.000  0.121
Pu  0.294  0.500  0.879
Pu  0.706  0.500  0.121
Pu  0.794  0.000  0.879
Mn  0.000  0.000  0.500
Mn  0.500  0.500  0.500
Pt  0.114  0.500  0.343
Pt  0.386  0.000  0.657
Pt  0.614  0.000  0.343
Pt  0.886  0.500  0.657

Results
- SG: C2/m (12)
- ρ: 15.825 Mg/m³
- Formation energy from the elements: -0.394 eV per atom

***

# 11
Here is crystalline Pu2MnPt9 at its relaxed geometry from the Alexandria database. Energies are from PBE-GGA.

Cell lengths 4.092, 4.092, 12.208 Å; angles 90.00, 90.00, 90.00 degrees
Fractional positions:
Pu  0.000  0.000  0.174
Pu  0.000  0.000  0.826
Mn  0.000  0.000  0.500
Pt  0.000  0.500  0.000
Pt  0.000  0.500  0.345
Pt  0.000  0.500  0.655
Pt  0.500  0.000  0.000
Pt  0.500  0.000  0.345
Pt  0.500  0.000  0.655
Pt  0.500  0.500  0.173
Pt  0.500  0.500  0.500
Pt  0.500  0.500  0.827

Results
- SG: P4/mmm (123)
- ρ: 18.671 Mg/m³
- Formation energy from the elements: -0.570 eV per atom

***

# 12
Here is crystalline Pu2MnPt3 at its relaxed geometry from the Alexandria database. Energies are from PBE-GGA.

Cell lengths 4.315, 5.494, 10.818 Å; angles 90.00, 90.00, 90.00 degrees
Fractional positions:
Pu  0.000  0.000  0.177
Pu  0.000  0.000  0.823
Pu  0.500  0.500  0.323
Pu  0.500  0.500  0.677
Mn  0.000  0.000  0.500
Mn  0.500  0.500  0.000
Pt  0.000  0.500  0.136
Pt  0.000  0.500  0.500
Pt  0.000  0.500  0.864
Pt  0.500  0.000  0.000
Pt  0.500  0.000  0.364
Pt  0.500  0.000  0.636

Results
- SG: Immm (71)
- ρ: 14.608 Mg/m³
- Formation energy from the elements: -0.448 eV per atom

***

# 13
Here is crystalline Pu2MnPt at its relaxed geometry from the Alexandria database. Energies are from PBE-GGA.

Cell lengths 3.566, 3.566, 6.492 Å; angles 90.00, 90.00, 90.00 degrees
Fractional positions:
Pu  0.000  0.000  0.248
Pu  0.000  0.000  0.752
Mn  0.500  0.500  0.000
Pt  0.500  0.500  0.500

Results
- SG: P4/mmm (123)
- ρ: 14.845 Mg/m³
- Formation energy from the elements: -0.298 eV per atom

***

| no. | E (eV per formula unit) |
| --- | --- |
| 1 | -22.18 |
| 2 | -14.92 |
| 3 | -15.21 |
| 4 | -38.99 |
| 5 | -15.92 |
| 6 | -52.03 |
| 7 | -52.09 |
| 8 | -161.49 |
| 9 | -131.67 |
| 10 | -51.89 |
| 11 | -99.04 |
| 12 | -58.64 |
| 13 | -45.06 |